Compound: Eu2DyMnO6
Source: Alexandria
Functional: PBE with a Hubbard U
Structure: relaxed

Unit cell a=5.743 b=5.743 c=5.743 alpha=60.00 beta=60.00 gamma=60.00
Fractional coordinates of all 10 atoms:
Eu 0.250 0.250 0.250
Eu 0.750 0.750 0.750
Dy 0.000 0.000 0.000
Mn 0.500 0.500 0.500
O 0.267 0.267 0.733
O 0.267 0.733 0.267
O 0.267 0.733 0.733
O 0.733 0.267 0.267
O 0.733 0.267 0.733
O 0.733 0.733 0.267

Summary:
Its space-group type is Fm-3m. The uncorrected energy is -8.77 eV per atom. The volume is 134.0 Å³/f.u. Its density of states at the Fermi level is 18.126 states/eV/cell.